## Na2MoF (GGA+U)

Data for an optimized crystal structure of Na2MoF.

Unit cell a=6.6263 b=6.6263 c=6.6263 alpha=116.81 beta=116.81 gamma=95.62
With the nearest neighbours (Å) after each atom.
Positions (direct):
Na (0.3750, 0.2241, 0.3491)  2 F 2.17
Na (0.7759, 0.1250, 0.1509)  2 F 2.17
Na (0.8750, 0.0259, 0.6509)  2 F 2.17
Na (0.9741, 0.6250, 0.8491)  2 F 2.17
Mo (0.2500, 0.7500, 0.5000)  8 Na 3.46-3.82
Mo (0.5000, 0.5000, 0.0000)  8 Na 3.46-3.82
F (0.0000, 0.0000, 0.0000)  4 Na 2.17
F (0.7500, 0.2500, 0.5000)  4 Na 2.17

## Properties
Total moment: 10.458 μB per cell
Relative energy among the computed polymorphs: 0 meV/atom
Calculated total energy: -27.39 eV for the cell shown
V: 215 Å³ per cell